! CaMoIrO6 (PBE with a Hubbard U, optimized geometry); values from VASP
! Uncorrected energy ... -0.251 Ha/atom
! Total magnetic moment ... 0.98 μB/f.u.
&SYSTEM
  ibrav = 0, nat = 18, ntyp = 4
/
ATOMIC_SPECIES
O 16.00 O.upf
Ir 192.22 Ir.upf
Ca 40.08 Ca.upf
Mo 95.94 Mo.upf
ATOMIC_POSITIONS angstrom
O 0.985 4.335 7.875
Ir 2.625 1.516 2.235
Ca 2.625 1.516 6.706
O 1.003 1.314 3.404
O 0.637 1.526 7.875
O 1.640 0.212 1.067
O 4.247 1.314 1.067
O 1.622 3.232 5.538
O -0.637 1.526 5.538
O 3.262 3.021 3.404
O -0.985 4.335 5.538
Ir 0.000 3.031 6.706
O 1.988 3.021 1.067
O -1.622 3.232 7.875
Ca 0.000 3.031 2.235
Mo 0.000 0.000 4.471
O 3.610 0.212 3.404
Mo 0.000 0.000 0.000
CELL_PARAMETERS angstrom
5.250 0.000 0.000
-2.625 4.547 0.000
0.000 0.000 8.942